First-principles (PBE-GGA) data for a relaxed Rb3BaCl crystal, as listed in Alexandria.

## Properties
SG: No. 221
Energy relative to the lowest polymorph listed for this composition, meV/atom: 679.6
ΔE_f (raw), eV/f.u.: 0.5

Unit cell a=8.615 b=8.615 c=8.615 alpha=90.00 beta=90.00 gamma=90.00
Positions (direct):
1 Rb 0.000 0.500 0.000
2 Rb 0.000 0.000 0.500
3 Rb 0.500 0.000 0.000
4 Ba 0.000 0.000 0.000
5 Cl 0.500 0.500 0.500



First-principles (PBE-GGA) data for a relaxed Rb2BaCl4 crystal, as listed in Alexandria.

## Properties
SG: No. 122
Energy relative to the lowest polymorph listed for this composition, meV/atom: 0.0
ΔE_f (raw), eV/f.u.: -15.3

Unit cell a=8.415 b=8.415 c=8.415 alpha=109.86 beta=109.86 gamma=108.69
Positions (direct):
1 Cl 0.106 0.721 0.749
2 Cl 0.777 0.529 0.884
3 Cl 0.279 0.027 0.384
4 Cl 0.643 0.894 0.616
5 Cl 0.107 0.223 0.751
6 Cl 0.471 0.356 0.249
7 Cl 0.973 0.357 0.251
8 Cl 0.644 0.893 0.116
9 Ba 0.000 0.000 0.000
10 Ba 0.750 0.250 0.500
11 Rb 0.875 0.737 0.362
12 Rb 0.263 0.625 0.138
13 Rb 0.375 0.513 0.638
14 Rb 0.487 0.125 0.862



First-principles (PBE-GGA) data for a relaxed Rb6BaCl8 crystal, as listed in Alexandria.

## Properties
SG: No. 225
ΔE_f (raw), eV/f.u.: -30.8

Unit cell a=9.504 b=9.504 c=9.504 alpha=60.00 beta=60.00 gamma=60.00
Positions (direct):
1 Ba 0.000 0.000 0.000
2 Cl 0.228 0.772 0.228
3 Cl 0.228 0.772 0.772
4 Cl 0.228 0.228 0.772
5 Cl 0.772 0.228 0.228
6 Cl 0.250 0.250 0.250
7 Cl 0.772 0.228 0.772
8 Cl 0.772 0.772 0.228
9 Cl 0.750 0.750 0.750
10 Rb 0.000 0.500 0.000
11 Rb 0.500 0.500 0.000
12 Rb 0.500 0.000 0.500
13 Rb 0.500 0.000 0.000
14 Rb 0.000 0.500 0.500
15 Rb 0.000 0.000 0.500



First-principles (PBE-GGA) data for a relaxed Rb4BaCl6 crystal, as listed in Alexandria.

## Properties
SG: No. 63
ΔE_f (raw), eV/f.u.: -22.8

Unit cell a=4.512 b=8.189 c=22.836 alpha=90.00 beta=90.00 gamma=105.99
Positions (direct):
1 Rb 0.412 0.824 0.367
2 Rb 0.141 0.283 0.459
3 Rb 0.588 0.176 0.867
4 Rb 0.588 0.176 0.633
5 Rb 0.859 0.717 0.959
6 Rb 0.859 0.717 0.541
7 Rb 0.412 0.824 0.133
8 Rb 0.141 0.283 0.041
9 Cl 0.065 0.131 0.327
10 Cl 0.229 0.458 0.595
11 Cl 0.705 0.410 0.750
12 Cl 0.771 0.542 0.405
13 Cl 0.500 0.000 0.000
14 Cl 0.500 0.000 0.500
15 Cl 0.229 0.458 0.905
16 Cl 0.065 0.131 0.173
17 Cl 0.935 0.869 0.673
18 Cl 0.771 0.542 0.095
19 Cl 0.935 0.869 0.827
20 Cl 0.295 0.590 0.250
21 Ba 0.662 0.325 0.250
22 Ba 0.338 0.675 0.750